# 1
! LiCoRu2, relaxed, DFT PBE-GGA; values from VASP
&SYSTEM
  ibrav = 0, nat = 4, ntyp = 3
/
ATOMIC_SPECIES
Li 6.94 Li.upf
Co 58.93 Co.upf
Ru 101.07 Ru.upf
ATOMIC_POSITIONS angstrom
Li 0.000 0.000 0.000
Co 0.000 0.000 2.509
Ru 1.311 1.905 1.221
Ru 1.311 1.905 3.797
CELL_PARAMETERS angstrom
2.621 0.000 0.000
0.000 3.811 0.000
0.000 0.000 5.018
! **Space-group type**: Pmmm
! **Energy of formation from the pure elements**: 0.2891 eV/atom
! **Mass density**: 8879 kg/m³
! **Total DFT energy (no corrections)**: -26.42 eV for the cell shown

=====

# 2
! LiCoRu, relaxed, DFT PBE-GGA; values from VASP
&SYSTEM
  ibrav = 0, nat = 6, ntyp = 3
/
ATOMIC_SPECIES
Li 6.94 Li.upf
Co 58.93 Co.upf
Ru 101.07 Ru.upf
ATOMIC_POSITIONS angstrom
Li 0.862 0.862 1.262
Li 2.585 2.585 4.775
Co 0.862 2.585 3.019
Co 2.585 0.862 3.019
Ru 0.862 0.862 4.877
Ru 2.585 2.585 1.161
CELL_PARAMETERS angstrom
3.446 0.000 0.000
0.000 3.446 0.000
0.000 0.000 6.038
! **Space-group type**: P4/nmm
! **Energy of formation from the pure elements**: 0.4928 eV/atom
! **Mass density**: 7732 kg/m³
! **Total DFT energy (no corrections)**: -33.63 eV for the cell shown

=====

# 3
! LiCoRu2, relaxed, DFT PBE-GGA; values from VASP
&SYSTEM
  ibrav = 0, nat = 4, ntyp = 3
/
ATOMIC_SPECIES
Li 6.94 Li.upf
Co 58.93 Co.upf
Ru 101.07 Ru.upf
ATOMIC_POSITIONS angstrom
Li 0.000 0.000 0.000
Co 1.313 1.894 3.918
Ru -0.009 0.000 2.551
Ru 1.323 1.894 1.339
CELL_PARAMETERS angstrom
2.663 0.000 0.000
0.000 3.789 0.000
-0.033 0.000 5.039
! **Space-group type**: Pm
! **Energy of formation from the pure elements**: 0.2218 eV/atom
! **Mass density**: 8753 kg/m³
! **Total DFT energy (no corrections)**: -26.68 eV for the cell shown

=====

# 4
! LiCoRu, relaxed, DFT PBE-GGA; values from VASP
&SYSTEM
  ibrav = 0, nat = 3, ntyp = 3
/
ATOMIC_SPECIES
Li 6.94 Li.upf
Co 58.93 Co.upf
Ru 101.07 Ru.upf
ATOMIC_POSITIONS angstrom
Li 0.000 0.000 0.000
Co 1.381 2.163 8.839
Ru 1.381 2.163 4.321
CELL_PARAMETERS angstrom
0.000 2.163 6.621
1.381 0.000 6.621
1.381 2.163 0.000
! **Space-group type**: Fmm2
! **Energy of formation from the pure elements**: 0.2761 eV/atom
! **Mass density**: 7011 kg/m³
! **Total DFT energy (no corrections)**: -17.47 eV for the cell shown

=====

# 5
! LiCoRu2, relaxed, DFT PBE-GGA; values from VASP
&SYSTEM
  ibrav = 0, nat = 4, ntyp = 3
/
ATOMIC_SPECIES
Li 6.94 Li.upf
Co 58.93 Co.upf
Ru 101.07 Ru.upf
ATOMIC_POSITIONS angstrom
Li 0.000 0.000 0.000
Co 2.538 0.000 0.000
Ru 1.269 1.933 1.277
Ru 1.269 -1.933 1.277
CELL_PARAMETERS angstrom
2.538 -3.867 0.000
2.538 3.867 0.000
0.000 0.000 2.553
! **Space-group type**: Cmmm
! **Energy of formation from the pure elements**: 0.3051 eV/atom
! **Mass density**: 8879 kg/m³
! **Total DFT energy (no corrections)**: -26.35 eV for the cell shown

=====

# 6
! LiCoRu2, relaxed, DFT PBE-GGA; values from VASP
&SYSTEM
  ibrav = 0, nat = 4, ntyp = 3
/
ATOMIC_SPECIES
Li 6.94 Li.upf
Co 58.93 Co.upf
Ru 101.07 Ru.upf
ATOMIC_POSITIONS angstrom
Li 0.000 0.000 0.000
Co 0.000 0.000 3.966
Ru 1.286 1.286 2.146
Ru 1.286 1.286 5.786
CELL_PARAMETERS angstrom
2.571 0.000 0.000
0.000 2.571 0.000
0.000 0.000 7.932
! **Space-group type**: P4/mmm
! **Energy of formation from the pure elements**: 0.2699 eV/atom
! **Mass density**: 8486 kg/m³
! **Total DFT energy (no corrections)**: -26.49 eV for the cell shown